A geometry-optimized Ac2Al4Zn3Sn structure, computed with PBE.

It has space group P-4m2 (No. 115), with a = 4.518 Å, b = 4.518 Å, c = 10.980 Å, α = 90.00°, β = 90.00° and γ = 90.00°. The distinct sites, in fractional coordinates, are Ac at (0.000, 0.500, 0.243), Al at (0.000, 0.000, 0.000), Al at (0.000, 0.500, 0.643), Al at (0.500, 0.500, 0.000), Zn at (0.000, 0.500, 0.874), Zn at (0.500, 0.500, 0.500) and Sn at (0.000, 0.000, 0.500).

The formation energy comes out at -0.36 eV per atom. Its total magnetization is 0.00 μB/f.u.